Density functional theory data (PBE-GGA) for a relaxed structure of HoTmZr.

a = 4.642 Å, b = 4.642 Å, c = 8.161 Å
α = 90.00°, β = 90.00°, γ = 90.00°
Fractional coordinates of all 6 atoms:
Ho 0.250 0.250 0.211
Ho 0.750 0.750 0.789
Tm 0.250 0.250 0.785
Tm 0.750 0.750 0.215
Zr 0.250 0.750 0.500
Zr 0.750 0.250 0.500

Density in g cm⁻³: 8.03
Formation enthalpy at 0 K in kJ/mol of formula units: 54
Energy relative to the lowest polymorph listed for this composition in meV per atom: 152
N(E_F) in states/eV per cell: 7.7
Crystal system: tetragonal

Density functional theory data (PBE-GGA) for a relaxed structure of HoTmZr2.

a = 4.686 Å, b = 4.686 Å, c = 4.767 Å
α = 90.00°, β = 90.00°, γ = 90.00°
Fractional coordinates of all 4 atoms:
Ho 0.000 0.000 0.000
Tm 0.500 0.500 0.000
Zr 0.000 0.500 0.500
Zr 0.500 0.000 0.500

Density in g cm⁻³: 8.19
Formation enthalpy at 0 K in kJ/mol of formula units: 40
Energy relative to the lowest polymorph listed for this composition in meV per atom: 35
N(E_F) in states/eV per cell: 5.2
Crystal system: tetragonal

Density functional theory data (PBE-GGA) for a relaxed structure of Ho7Tm12Zr.

a = 8.567 Å, b = 8.567 Å, c = 8.567 Å
α = 89.50°, β = 89.50°, γ = 89.50°
Fractional coordinates of all 20 atoms:
Ho 0.000 0.000 0.000
Ho 0.159 0.603 0.497
Ho 0.397 0.503 0.841
Ho 0.497 0.159 0.603
Ho 0.503 0.841 0.397
Ho 0.603 0.497 0.159
Ho 0.841 0.397 0.503
Tm 0.046 0.379 0.158
Tm 0.129 0.260 0.717
Tm 0.158 0.046 0.379
Tm 0.260 0.717 0.129
Tm 0.283 0.871 0.740
Tm 0.379 0.158 0.046
Tm 0.621 0.842 0.954
Tm 0.717 0.129 0.260
Tm 0.740 0.283 0.871
Tm 0.842 0.954 0.621
Tm 0.871 0.740 0.283
Tm 0.954 0.621 0.842
Zr 0.500 0.500 0.500

Density in g cm⁻³: 8.65
Formation enthalpy at 0 K in kJ/mol of formula units: 518
Energy relative to the lowest polymorph listed for this composition in meV per atom: 0
N(E_F) in states/eV per cell: 41.9
Crystal system: trigonal

Which value of density does entry 2 give?
8.19 g cm⁻³

Which formula does entry 2 have?
HoTmZr2

density of number 2 (HoTmZr2)?
8.19 g cm⁻³

Copy entry 3 word for word.
Density functional theory data (PBE-GGA) for a relaxed structure of Ho7Tm12Zr.

a = 8.567 Å, b = 8.567 Å, c = 8.567 Å
α = 89.50°, β = 89.50°, γ = 89.50°
Fractional coordinates of all 20 atoms:
Ho 0.000 0.000 0.000
Ho 0.159 0.603 0.497
Ho 0.397 0.503 0.841
Ho 0.497 0.159 0.603
Ho 0.503 0.841 0.397
Ho 0.603 0.497 0.159
Ho 0.841 0.397 0.503
Tm 0.046 0.379 0.158
Tm 0.129 0.260 0.717
Tm 0.158 0.046 0.379
Tm 0.260 0.717 0.129
Tm 0.283 0.871 0.740
Tm 0.379 0.158 0.046
Tm 0.621 0.842 0.954
Tm 0.717 0.129 0.260
Tm 0.740 0.283 0.871
Tm 0.842 0.954 0.621
Tm 0.871 0.740 0.283
Tm 0.954 0.621 0.842
Zr 0.500 0.500 0.500

Density in g cm⁻³: 8.65
Formation enthalpy at 0 K in kJ/mol of formula units: 518
Energy relative to the lowest polymorph listed for this composition in meV per atom: 0
N(E_F) in states/eV per cell: 41.9
Crystal system: trigonal